Entry from the Alexandria database: a PBEsol-optimized structure of BeSi2Pt (meta-GGA SCAN).

a b c (Å): 4.1374 4.1374 3.2830
angles (deg): 90.00 90.00 111.10
With the nearest neighbours (Å) after each atom.
Fractional positions:
Be1 0.0000 0.0000 0.0000  2 Pt 2.34
Si1 0.0000 0.5000 0.5000  2 Si 2.34
Si2 0.5000 0.0000 0.5000  2 Si 2.34
Pt1 0.5000 0.5000 0.0000  2 Be 2.34

Total magnetization ... 0.000 μB per atom
E_form (uncorrected) ... -0.068 eV/atom
Calculated total energy ... -23.7127 eV/atom
Fermi-level density of states ... 0.253 states/eV/atom

=====

Entry from the Alexandria database: a PBEsol-optimized structure of BeSi2Pt2 (meta-GGA SCAN).

a b c (Å): 6.0107 6.0107 3.9173
angles (deg): 90.00 90.00 90.00
With the nearest neighbours (Å) after each atom.
Fractional positions:
Be1 0.0000 0.0000 0.0000  4 Si 2.36
Be2 0.5000 0.5000 0.0000  4 Si 2.36
Si1 0.1297 0.3703 0.0000  1 Si 2.20, 2 Pt 2.31, 2 Be 2.36
Si2 0.3703 0.8703 0.0000  1 Si 2.20, 2 Pt 2.31, 2 Be 2.36
Si3 0.6297 0.1297 0.0000  1 Si 2.20, 2 Pt 2.31, 2 Be 2.36
Si4 0.8703 0.6297 0.0000  1 Si 2.20, 2 Pt 2.31, 2 Be 2.36
Pt1 0.2259 0.7259 0.5000  2 Si 2.31
Pt2 0.2741 0.2259 0.5000  2 Si 2.31
Pt3 0.7259 0.7741 0.5000  2 Si 2.31
Pt4 0.7741 0.2741 0.5000  2 Si 2.31

Total magnetization ... 0.000 μB per atom
E_form (uncorrected) ... -0.090 eV/atom
Calculated total energy ... -33.0446 eV/atom
Fermi-level density of states ... 0.184 states/eV/atom

=====

Entry from the Alexandria database: a PBEsol-optimized structure of Be2SiPt2 (meta-GGA SCAN).

a b c (Å): 6.5948 6.5948 6.5948
angles (deg): 152.48 152.48 39.31
With the nearest neighbours (Å) after each atom.
Fractional positions:
Be1 0.2500 0.7500 0.5000  4 Be 2.22, 4 Pt 2.35
Be2 0.7500 0.2500 0.5000  4 Be 2.22, 4 Pt 2.35
Si1 0.0000 0.0000 0.0000  8 Pt 2.60
Pt1 0.3905 0.3905 0.0000  4 Be 2.35, 4 Si 2.60
Pt2 0.6095 0.6095 0.0000  4 Be 2.35, 4 Si 2.60

Total magnetization ... 0.000 μB per atom
E_form (uncorrected) ... -0.586 eV/atom
Calculated total energy ... -32.4081 eV/atom
Fermi-level density of states ... 0.228 states/eV/atom

=====

Entry from the Alexandria database: a PBEsol-optimized structure of BeSi2Pt (meta-GGA SCAN).

a b c (Å): 7.5051 7.5051 7.5051
angles (deg): 22.10 22.10 22.10
With the nearest neighbours (Å) after each atom.
Fractional positions:
Be1 0.0000 0.0000 0.0000  6 Si 2.39
Si1 0.2551 0.2551 0.2551  3 Be 2.39, 3 Pt 2.56
Si2 0.7449 0.7449 0.7449  3 Be 2.39, 3 Pt 2.56
Pt1 0.5000 0.5000 0.5000  6 Si 2.56

Total magnetization ... 0.000 μB per atom
E_form (uncorrected) ... -0.016 eV/atom
Calculated total energy ... -23.6608 eV/atom
Fermi-level density of states ... 0.344 states/eV/atom

=====

Entry from the Alexandria database: a PBEsol-optimized structure of SrBe3Pt (meta-GGA SCAN).

a b c (Å): 4.3794 4.3794 4.3794
angles (deg): 90.00 90.00 90.00
With the nearest neighbours (Å) after each atom.
Fractional positions:
Sr1 0.0000 0.0000 0.0000  12 Be 3.10
Be1 0.0000 0.5000 0.5000  2 Pt 2.19
Be2 0.5000 0.0000 0.5000  2 Pt 2.19
Be3 0.5000 0.5000 0.0000  2 Pt 2.19
Pt1 0.5000 0.5000 0.5000  6 Be 2.19

Total magnetization ... 0.000 μB per atom
Calculated total energy ... -21.4941 eV/atom
Formation energy from the elements ... -37 kJ per mole of atoms
Fermi-level density of states ... 0.251 states/eV/atom

=====

Entry from the Alexandria database: a PBEsol-optimized structure of Sr3BePt (meta-GGA SCAN).

a b c (Å): 5.7406 5.7406 5.7406
angles (deg): 90.00 90.00 90.00
With the nearest neighbours (Å) after each atom.
Fractional positions:
Sr1 0.0000 0.0000 0.5000  2 Pt 2.87
Sr2 0.0000 0.5000 0.0000  2 Pt 2.87
Sr3 0.5000 0.0000 0.0000  2 Pt 2.87
Be1 0.5000 0.5000 0.5000  12 Sr 4.06
Pt1 0.0000 0.0000 0.0000  6 Sr 2.87

Total magnetization ... 0.000 μB per atom
Calculated total energy ... -28.3042 eV/atom
Formation energy from the elements ... -3 kJ per mole of atoms
Fermi-level density of states ... 0.520 states/eV/atom

=====

Entry from the Alexandria database: a PBEsol-optimized structure of SrBe2Pt2 (meta-GGA SCAN).

a b c (Å): 5.7569 5.7569 5.7569
angles (deg): 138.83 138.83 59.64
With the nearest neighbours (Å) after each atom.
Fractional positions:
Sr1 0.0000 0.0000 0.0000  8 Pt 3.19, 8 Be 3.21
Be1 0.2500 0.7500 0.5000  4 Pt 2.30
Be2 0.7500 0.2500 0.5000  4 Pt 2.30
Pt1 0.3597 0.3597 0.0000  4 Be 2.30
Pt2 0.6403 0.6403 0.0000  4 Be 2.30

Total magnetization ... 0.000 μB per atom
Calculated total energy ... -35.0992 eV/atom
Formation energy from the elements ... -80 kJ per mole of atoms
Fermi-level density of states ... 0.355 states/eV/atom

=====

Entry from the Alexandria database: a PBEsol-optimized structure of TaBe2Pt2 (meta-GGA SCAN).

a b c (Å): 6.8703 6.8703 2.6812
angles (deg): 90.00 90.00 90.00
With the nearest neighbours (Å) after each atom.
Fractional positions:
Ta1 0.0000 0.0000 0.0000  2 Ta 2.68, 4 Be 2.75, 8 Pt 2.87
Ta2 0.5000 0.5000 0.0000  2 Ta 2.68, 4 Be 2.75, 8 Pt 2.87
Be1 0.1166 0.3834 0.0000  1 Be 2.27, 6 Pt 2.42-2.45
Be2 0.3834 0.8834 0.0000  1 Be 2.27, 6 Pt 2.42-2.45
Be3 0.6166 0.1166 0.0000  1 Be 2.27, 6 Pt 2.42-2.45
Be4 0.8834 0.6166 0.0000  1 Be 2.27, 6 Pt 2.42-2.45
Pt1 0.1756 0.6756 0.5000  6 Be 2.42-2.45, 2 Pt 2.68
Pt2 0.3244 0.1756 0.5000  6 Be 2.42-2.45, 2 Pt 2.68
Pt3 0.6756 0.8244 0.5000  6 Be 2.42-2.45, 2 Pt 2.68
Pt4 0.8244 0.3244 0.5000  6 Be 2.42-2.45, 2 Pt 2.68

Total magnetization ... 0.000 μB per atom
Calculated total energy ... -43.9087 eV/atom
Formation energy from the elements ... -75 kJ per mole of atoms
Fermi-level density of states ... 0.385 states/eV/atom

=====

Entry from the Alexandria database: a PBEsol-optimized structure of TaBe2Pt (meta-GGA SCAN).

a b c (Å): 4.9219 4.9219 4.9219
angles (deg): 146.42 131.36 60.40
With the nearest neighbours (Å) after each atom.
Fractional positions:
Ta1 0.0000 0.0000 0.0000  6 Be 2.49-2.72, 4 Pt 2.76-2.77
Be1 0.5269 0.5269 0.0000  2 Be 2.22, 4 Ta 2.49
Be2 0.7281 0.2281 0.5000  2 Be 2.22
Pt1 0.2787 0.7787 0.5000  6 Be 2.51-2.55, 4 Ta 2.76-2.77

Total magnetization ... 0.000 μB per atom
Calculated total energy ... -36.7043 eV/atom
Formation energy from the elements ... -32 kJ per mole of atoms
Fermi-level density of states ... 0.404 states/eV/atom

=====

Entry from the Alexandria database: a PBEsol-optimized structure of Ta2Be2Pt (meta-GGA SCAN).

a b c (Å): 5.9616 5.9616 3.6542
angles (deg): 90.00 90.00 90.00
With the nearest neighbours (Å) after each atom.
Fractional positions:
Ta1 0.1713 0.3287 0.0000  6 Be 2.50-2.56
Ta2 0.3287 0.8287 0.0000  6 Be 2.50-2.56
Ta3 0.6713 0.1713 0.0000  6 Be 2.50-2.56
Ta4 0.8287 0.6713 0.0000  6 Be 2.50-2.56
Be1 0.1269 0.6269 0.5000  1 Be 2.14, 2 Pt 2.35
Be2 0.3731 0.1269 0.5000  1 Be 2.14, 2 Pt 2.35
Be3 0.6269 0.8731 0.5000  1 Be 2.14, 2 Pt 2.35
Be4 0.8731 0.3731 0.5000  1 Be 2.14, 2 Pt 2.35
Pt1 0.0000 0.0000 0.5000  4 Be 2.35
Pt2 0.5000 0.5000 0.5000  4 Be 2.35

Total magnetization ... 0.000 μB per atom
Calculated total energy ... -43.0483 eV/atom
Formation energy from the elements ... -61 kJ per mole of atoms
Fermi-level density of states ... 0.357 states/eV/atom

=====

Entry from the Alexandria database: a PBEsol-optimized structure of TaBeTe2Pt (meta-GGA SCAN).

a b c (Å): 5.1793 5.1793 4.4383
angles (deg): 90.00 90.00 90.00
With the nearest neighbours (Å) after each atom.
Fractional positions:
Ta1 0.0000 0.0000 0.0000  2 Be 2.22
Be1 0.0000 0.0000 0.5000  2 Ta 2.22
Te1 0.0000 0.5000 0.0000  2 Ta 2.59
Te2 0.5000 0.0000 0.0000  2 Ta 2.59
Pt1 0.5000 0.5000 0.5000  8 Te 3.41, 4 Be 3.66

Total magnetization ... 0.000 μB per atom
E_form (uncorrected) ... 1.094 eV/atom
Calculated total energy ... -42.0325 eV/atom
Fermi-level density of states ... 0.671 states/eV/atom

=====

Entry from the Alexandria database: a PBEsol-optimized structure of BeTc2Pt (meta-GGA SCAN).

a b c (Å): 8.6196 8.6196 8.6196
angles (deg): 17.85 17.85 17.85
With the nearest neighbours (Å) after each atom.
Fractional positions:
Be1 0.0000 0.0000 0.0000  6 Tc 2.51, 6 Be 2.67
Tc1 0.2555 0.2555 0.2555  3 Be 2.51, 6 Tc 2.67, 3 Pt 2.74
Tc2 0.7445 0.7445 0.7445  3 Be 2.51, 6 Tc 2.67, 3 Pt 2.74
Pt1 0.5000 0.5000 0.5000  6 Pt 2.67, 6 Tc 2.74

Total magnetization ... 0.000 μB per atom
Calculated total energy ... -36.1427 eV/atom
Formation energy from the elements ... 2 kJ per mole of atoms
Fermi-level density of states ... 0.755 states/eV/atom